A relaxed ReSb2PbBr crystal, computed with PBE.

Lattice parameters (Å, degrees): 5.143 5.539 5.143 90.00 90.00 90.00
Atoms (fractional coordinates):
1 Re 0.000 0.000 0.000
2 Sb 0.000 0.000 0.500
3 Sb 0.500 0.000 0.000
4 Br 0.500 0.500 0.500
5 Pb 0.000 0.500 0.000

Output
ΔE_f (raw): 0.27 eV/atom
Final energy: -4.948 eV per atom
Distance to the lowest polymorph of the same formula: 0.000 eV/f.u.

---

A relaxed ReSb2PbBr crystal, computed with PBE.

Lattice parameters (Å, degrees): 5.853 5.853 5.362 90.00 90.00 90.00
Atoms (fractional coordinates):
1 Sb 0.000 0.500 0.000
2 Sb 0.500 0.000 0.000
3 Br 0.500 0.500 0.500
4 Re 0.000 0.000 0.500
5 Pb 0.000 0.000 0.000

Output
ΔE_f (raw): 1.64 eV/atom
Final energy: -3.579 eV per atom
Distance to the lowest polymorph of the same formula: 6.841 eV/f.u.

---

> Among the records above, which one has the highest distance to the lowest polymorph of the same formula?

number 2